[1]
66
Lattice="10.068 -2.363 0.000 10.068 2.363 0.000 -7.103 0.000 17.458" Properties=species:S:1:pos:R:3 comment="ZnH12C6S2N10O2 PBE relaxed" space_group="C2/c (15)" total_energy_ev_per_atom=-6.2791 magmom_total_mub_per_cell=0.00 pbc="T T T"
Zn 4.741 1.377 13.094
Zn 8.292 -1.377 4.365
H 5.447 2.126 9.443
H 3.028 0.783 4.320
H 4.034 2.126 16.744
H 3.919 1.277 9.595
H 1.095 0.613 12.655
H 0.653 0.380 15.181
H -0.269 0.266 16.663
H 5.562 1.277 16.593
H 3.283 -0.266 7.934
H -0.524 -0.783 13.049
H 4.205 -0.380 6.451
H 4.647 -0.613 3.925
H 8.386 0.613 13.533
H 8.828 0.380 11.007
H 13.556 0.783 4.410
H 9.750 0.266 9.524
H 7.471 -1.277 0.866
H 13.302 -0.266 0.795
H 12.380 -0.380 2.278
H 11.938 -0.613 4.804
H 9.114 -1.277 7.864
H 8.999 -2.126 0.714
H 10.005 -0.783 13.139
H 7.586 -2.126 8.015
C 6.468 1.495 2.604
C 5.000 0.860 7.900
C 10.116 1.495 6.126
C 6.629 0.404 6.338
C 11.584 0.860 0.829
C 9.956 0.404 2.391
C 3.077 -0.404 15.067
C 1.448 -0.860 16.629
C 6.404 -0.404 11.120
C 2.917 -1.495 11.333
C 8.033 -0.860 9.559
C 6.565 -1.495 14.855
S 5.542 0.463 1.765
S 1.990 -0.463 10.494
S 11.043 0.463 6.964
S 7.491 -0.463 15.693
N -4.176 0.101 14.254
N 4.735 1.515 9.034
N -0.625 -0.101 5.525
N 6.170 1.157 7.279
N 4.746 1.515 17.153
N 10.415 1.157 1.451
N 0.581 0.041 16.149
N 4.133 -0.041 7.420
N 3.597 0.228 14.220
N 5.884 0.228 11.968
N 7.149 -0.228 5.490
N 9.436 -0.228 3.239
N 8.900 0.041 10.038
N 12.452 -0.041 1.309
N 2.618 -1.157 16.008
N 8.286 -1.515 0.305
N 6.863 -1.157 10.180
N 13.658 0.101 11.934
N 8.298 -1.515 8.424
N 17.209 -0.101 3.205
O 0.367 0.692 13.308
O 3.918 -0.692 4.579
O 9.115 0.692 12.880
O 12.666 -0.692 4.151

[2]
82
Lattice="10.203 0.000 0.000 0.000 9.823 0.000 -0.070 0.000 10.285" Properties=species:S:1:pos:R:3 comment="U2H12C2Se3N6O16 PBE relaxed" space_group="P2 (3)" total_energy_ev_per_atom=-6.3975 magmom_total_mub_per_cell=0.35 pbc="T T T"
U 1.987 0.000 2.114
U 2.984 2.339 7.108
U 7.149 2.339 3.177
U 8.146 0.000 8.171
H -0.041 5.732 7.186
H 0.063 7.776 6.010
H 0.145 4.240 6.310
H 0.628 3.143 0.593
H 0.990 6.684 0.642
H 1.564 5.183 1.311
H 3.412 5.850 9.054
H 3.606 7.011 6.566
H 4.140 4.334 9.508
H 4.322 5.492 6.071
H 4.371 7.857 9.711
H 4.453 9.036 5.749
H 5.680 9.036 4.536
H 5.762 7.857 0.574
H 5.810 5.492 4.214
H 5.993 4.334 0.777
H 6.527 7.011 3.719
H 6.721 5.850 1.231
H 8.569 5.183 8.974
H 9.143 6.684 9.643
H 9.505 3.143 9.692
H 9.988 4.240 3.975
H 10.070 7.776 4.275
H 10.174 5.732 3.099
C 0.000 5.012 0.000
C -0.035 5.918 5.143
C 5.102 6.011 0.000
C 5.066 7.158 5.143
Se -0.035 1.216 5.143
Se 1.618 8.958 8.715
Se 3.497 3.153 3.455
Se 5.102 1.252 0.000
Se 6.636 3.153 6.830
Se 8.515 8.958 1.570
N 0.000 3.687 0.000
N -0.035 7.253 5.143
N 0.006 5.247 6.297
N 0.819 5.694 0.829
N 4.090 5.344 9.611
N 4.207 6.493 5.926
N 5.102 7.343 0.000
N 5.066 8.491 5.143
N 5.925 6.493 4.359
N 6.043 5.344 0.674
N 9.314 5.694 9.456
N 10.126 5.247 3.988
O 0.141 8.621 7.971
O 0.700 2.205 6.281
O 1.096 0.249 4.387
O 1.147 1.446 1.444
O 1.540 8.615 0.078
O 1.925 0.781 8.551
O 2.307 3.827 7.877
O 2.754 4.031 2.295
O 2.746 8.333 2.772
O 2.830 3.437 4.975
O 2.811 7.988 8.111
O 3.426 1.484 3.176
O 3.664 0.870 6.318
O 3.951 0.242 0.664
O 4.352 2.276 9.146
O 4.996 3.561 6.739
O 5.137 3.561 3.546
O 5.781 2.276 1.139
O 6.182 0.242 9.621
O 6.469 0.870 3.967
O 6.707 1.484 7.110
O 7.303 3.437 5.310
O 7.322 7.988 2.174
O 7.379 4.031 7.990
O 7.387 8.333 7.513
O 7.826 3.827 2.408
O 8.208 0.781 1.735
O 8.593 8.615 10.207
O 8.985 1.446 8.841
O 9.037 0.249 5.898
O 9.433 2.205 4.004
O 9.992 8.621 2.314

[3]
74
Lattice="8.809 0.000 0.000 0.000 9.433 0.000 -0.889 0.000 8.972" Properties=species:S:1:pos:R:3 comment="Si5H15C4NO12 PBE relaxed" space_group="P2_1 (4)" total_energy_ev_per_atom=-6.2842 magmom_total_mub_per_cell=0.00 pbc="T T T"
Si 0.099 0.000 1.680
Si 2.339 4.744 0.249
Si 2.218 2.266 2.253
Si 2.299 7.265 2.229
Si 3.352 4.766 6.582
Si 4.567 0.050 2.390
Si 5.621 2.549 6.743
Si 5.702 6.982 6.718
Si 5.581 0.028 8.722
Si 7.821 4.716 7.291
H 8.146 0.375 6.660
H -0.226 5.091 2.312
H -0.055 9.102 5.122
H 0.199 1.408 5.471
H 0.537 8.149 7.947
H 0.870 4.668 5.774
H 0.833 1.132 8.335
H 1.142 7.436 6.408
H 1.782 2.090 7.152
H 2.089 6.038 4.259
H 2.134 3.634 4.247
H 2.370 8.732 4.874
H 2.550 1.083 5.097
H 2.302 7.928 7.688
H 2.606 0.877 8.178
H 3.488 9.373 6.125
H 4.432 4.657 2.847
H 5.313 5.593 0.794
H 5.618 3.212 1.283
H 5.370 5.800 3.874
H 5.550 4.016 4.098
H 5.785 8.350 4.724
H 5.830 1.322 4.713
H 6.137 6.807 1.819
H 6.778 2.720 2.564
H 7.087 5.848 0.636
H 7.050 9.384 3.197
H 7.382 3.432 1.025
H 7.720 6.125 3.500
H 7.974 4.386 3.850
C 0.131 0.407 5.908
C 1.344 8.157 7.208
C 1.681 1.119 7.646
C 2.546 0.107 5.593
C 5.374 4.823 3.379
C 6.238 5.836 1.326
C 6.575 3.440 1.764
C 7.789 5.123 3.063
N 1.428 0.088 6.592
N 6.492 4.804 2.379
O -0.114 4.470 5.968
O -0.087 4.766 8.668
O 0.944 1.403 1.697
O 1.169 8.206 1.513
O 1.739 6.784 3.669
O 1.785 2.869 3.684
O 2.587 3.397 1.126
O 2.607 6.026 1.209
O 2.359 4.831 5.320
O 2.522 4.792 8.009
O 3.538 1.320 2.355
O 3.696 8.092 2.378
O 4.223 3.375 6.593
O 4.382 6.036 6.616
O 5.397 0.075 0.962
O 5.560 0.115 3.651
O 5.312 1.310 7.763
O 5.332 8.114 7.845
O 6.135 7.585 5.288
O 6.180 2.068 5.303
O 6.750 3.490 7.458
O 6.976 6.119 7.275
O 8.006 0.050 0.304
O 8.034 9.187 3.003

[4]
50
Lattice="3.429 -9.374 0.000 3.429 9.374 0.000 0.000 0.000 8.751" Properties=species:S:1:pos:R:3 comment="SmH9C5N2O8 PBE relaxed" space_group="C222_1 (20)" total_energy_ev_per_atom=-6.5162 magmom_total_mub_per_cell=0.00 pbc="T T T"
Sm 3.429 6.709 6.563
Sm 3.429 -6.709 2.188
H 2.033 3.968 4.854
H 1.849 1.785 7.821
H 1.692 0.000 4.376
H 3.429 3.397 2.188
H 2.365 0.186 7.213
H 3.429 2.907 6.563
H 2.365 -0.186 1.538
H 1.849 -1.785 0.930
H 4.826 3.968 8.273
H 2.033 -3.968 3.897
H 5.009 1.785 5.306
H 4.493 0.186 5.914
H 3.429 -2.907 2.188
H 4.493 -0.186 2.837
H 3.429 -3.397 6.563
H 5.166 0.000 0.000
H 5.009 -1.785 3.445
H 4.826 -3.968 0.479
C 1.838 4.807 4.153
C 0.583 0.000 4.376
C 3.429 2.290 2.188
C 3.429 1.812 6.563
C 5.020 4.807 0.223
C 1.838 -4.807 4.598
C 3.429 -1.812 2.188
C 3.429 -2.290 6.563
C 6.275 0.000 0.000
C 5.020 -4.807 8.529
N 2.490 1.207 7.261
N 2.490 -1.207 1.491
N 4.369 1.207 5.866
N 4.369 -1.207 2.885
O 2.213 5.964 4.508
O 3.407 8.433 4.965
O 3.451 8.433 8.162
O 2.178 4.832 7.434
O 2.308 1.700 2.278
O 4.645 5.964 8.619
O 4.680 4.832 5.693
O 2.308 -1.700 6.473
O 4.550 1.700 2.098
O 2.178 -4.832 1.317
O 2.213 -5.964 4.243
O 4.550 -1.700 6.654
O 4.680 -4.832 3.058
O 3.407 -8.433 3.786
O 3.451 -8.433 0.589
O 4.645 -5.964 0.133

[5]
70
Lattice="10.227 0.000 0.000 0.000 6.066 0.000 -5.486 0.000 14.177" Properties=species:S:1:pos:R:3 comment="Sn2H10C8N2O13 PBE relaxed" space_group="P2/c (13)" total_energy_ev_per_atom=-6.3595 magmom_total_mub_per_cell=3.42 pbc="T T T"
Sn 0.634 1.172 1.277
Sn -2.109 4.895 8.365
Sn 6.849 1.172 5.811
Sn 4.106 4.895 12.900
H -1.752 0.453 13.648
H 0.991 5.613 6.560
H 1.801 0.423 4.488
H -0.942 5.643 11.576
H 1.520 1.234 6.710
H -1.223 4.832 13.798
H 0.104 0.845 12.112
H 2.847 5.221 5.024
H 4.166 0.783 1.933
H 1.423 5.283 9.021
H 3.318 0.783 5.155
H 0.574 5.283 12.244
H 1.893 0.845 9.153
H 4.636 5.221 2.064
H 5.963 1.234 0.378
H 3.220 4.832 7.467
H 5.682 0.423 2.600
H 2.939 5.643 9.688
H 3.749 0.453 7.617
H 6.492 5.613 0.529
C -0.770 1.270 4.029
C -3.514 4.796 11.117
C -0.957 2.038 8.892
C 1.786 4.028 1.804
C 0.292 2.974 8.969
C 3.036 3.092 1.881
C 1.868 0.207 6.554
C -0.875 5.860 13.642
C 5.615 0.207 0.535
C 2.872 5.860 7.623
C 1.705 2.974 12.295
C 4.448 3.092 5.207
C 2.954 2.038 12.372
C 5.698 4.028 5.284
C 8.254 1.270 3.059
C 5.511 4.796 10.147
N 2.494 0.132 5.207
N -0.249 5.935 12.295
N 4.990 0.132 1.881
N 2.246 5.935 8.970
O -4.115 1.911 10.632
O -1.372 4.155 3.544
O -0.989 1.297 5.264
O -3.733 4.770 12.352
O -2.076 2.584 8.597
O 0.667 3.482 1.509
O 0.400 1.191 3.503
O -2.343 4.875 10.591
O -0.763 0.814 9.105
O 1.980 5.252 2.017
O 2.775 1.827 1.824
O 0.032 4.239 8.912
O 1.441 2.502 9.055
O 4.185 3.564 1.967
O 0.556 2.502 12.210
O 3.299 3.564 5.121
O 4.708 1.827 5.265
O 1.965 4.239 12.353
O 2.761 0.814 12.160
O 5.504 5.252 5.071
O 7.084 1.191 3.586
O 4.340 4.875 10.674
O 4.073 2.584 12.668
O 6.817 3.482 5.580
O 8.473 1.297 1.824
O 5.730 4.770 8.913

[6]
25
Lattice="5.621 -3.624 0.000 5.621 3.624 0.000 -2.191 0.000 6.182" Properties=species:S:1:pos:R:3 comment="TmH9C5N2O8 PBE relaxed" space_group="C2 (5)" total_energy_ev_per_atom=-6.5028 magmom_total_mub_per_cell=0.00 pbc="T T T"
Tm 0.000 0.000 0.000
H 4.526 3.032 3.091
H 2.284 0.575 2.516
H 3.724 0.371 5.117
H 5.327 0.371 1.065
H 3.305 -1.085 0.750
H 3.082 -0.800 3.326
H 6.767 0.575 3.665
H 5.969 -0.800 2.856
H 5.746 -1.085 5.431
C 3.106 0.905 4.376
C 5.945 0.905 1.805
C 0.853 -1.510 5.942
C 4.526 -3.115 3.091
C 8.198 -1.510 0.240
N 2.776 0.175 3.328
N 6.275 0.175 2.854
O 3.662 2.444 0.780
O 2.771 2.105 4.558
O 5.389 2.444 5.401
O 6.280 2.105 1.624
O 1.705 -2.316 5.429
O 4.094 -2.524 4.134
O 4.957 -2.524 2.048
O 7.346 -2.316 0.752